Entry from OQMD via LeMat-Bulk: ErCoAsO after structural relaxation (PBE+U).

The energy above the most stable polymorph in this dataset comes out at 30 meV per atom. The total magnetization comes out at 4.5 μB/cell.

The structure belongs to space group P4/nmm (No. 129, origin choice 2); the cell edges are 3.833, 3.833 and 8.728 Å and the angles 90.00°, 90.00° and 90.00°. The distinct sites, in fractional coordinates, are Er at (0.250, 0.250, 0.127), Co at (0.250, 0.750, 0.500), As at (0.250, 0.250, 0.676) and O at (0.250, 0.750, 0.000).